(1)
This record from the Alexandria database describes CaIn3Re at its PBEsol-relaxed geometry. The functional is SCAN.

Calculated values
**E_form**: 1889 meV per atom
**Calculated volume**: 33.239 A^3/atom

Cell: 5.4980 5.4980 5.4980 Å, 90.00 90.00 90.00°
Last column: nearest neighbours and their distance in Å.
Space group Pm-3m (No. 221)
Unique sites:
Ca 0.0000 0.0000 0.0000  6 In 2.75
In 0.0000 0.0000 0.5000  2 Ca 2.75
Re 0.5000 0.5000 0.5000  12 In 3.89

=====

(2)
This record from the Alexandria database describes Ag7Sb9O25 at its PBEsol-relaxed geometry. The functional is SCAN.

Calculated values
**Calculated volume**: 13.217 A^3/atom
**E_form (uncorrected)**: -1.14 eV/atom

Cell: 7.2472 7.2472 35.7409 Å, 90.00 90.00 120.00°
Last column: nearest neighbours and their distance in Å.
Space group R3m (No. 160, hexagonal axes)
Unique sites:
Ag 0.0000 0.0000 0.0000  6 O 2.53-2.54
Ag 0.0670 0.5335 0.2460  6 O 2.49-2.69
Ag 0.1992 0.3985 0.0856  6 O 2.41-2.64
Sb 0.0000 0.0000 0.2485  6 O 1.97-1.99
Sb 0.0000 0.0000 0.5127  3 O 2.05
Sb 0.0000 0.0000 0.7500  6 O 1.98-2.00
Sb 0.9999 0.5000 0.9993  6 O 1.98-1.99
Sb 0.1701 0.3401 0.8318  5 O 1.97-2.08
O 0.0000 0.0000 0.1546  3 Sb 2.08
O 0.0567 0.5283 0.4446  2 Sb 1.97-2.00
O 0.0636 0.5318 0.3194  2 Sb 1.98
O 0.0655 0.5328 0.9447  2 Sb 1.99
O 0.1888 0.3775 0.1529  3 Sb 2.05-2.27
O 0.1984 0.3969 0.0123  2 Sb 1.98
O 0.1995 0.3990 0.3871  2 Sb 1.98-1.99
O 0.2001 0.4002 0.8860  2 Sb 1.97
O 0.2065 0.4130 0.5138  2 Sb 2.00

=====

(3)
This record from the Alexandria database describes POsRh2 at its PBEsol-relaxed geometry. The functional is SCAN.

Calculated values
**E_form**: 29 meV per atom
**Calculated volume**: 13.115 A^3/atom

Cell: 2.7344 2.7344 7.0159 Å, 90.00 90.00 90.00°
Last column: nearest neighbours and their distance in Å.
Space group P4/mmm (No. 123)
Unique sites:
P 0.0000 0.0000 0.0000  8 Rh 2.50, 4 P 2.73
Os 0.0000 0.0000 0.5000  8 Rh 2.73, 4 Os 2.73
Rh 0.5000 0.5000 0.2261  4 P 2.50, 4 Os 2.73, 4 Rh 2.73

=====

(4)
This record from the Alexandria database describes TaFeO3 at its PBEsol-relaxed geometry. The functional is SCAN.

Calculated values
**Calculated volume**: 12.185 A^3/atom
**E_form (uncorrected)**: -1.88 eV/atom

Cell: 3.9348 3.9348 3.9348 Å, 90.00 90.00 90.00°
Last column: nearest neighbours and their distance in Å.
Space group Pm-3m (No. 221)
Unique sites:
Ta 0.0000 0.0000 0.0000  6 O 1.97
Fe 0.5000 0.5000 0.5000  12 O 2.78
O 0.0000 0.0000 0.5000  2 Ta 1.97

=====

(5)
This record from the Alexandria database describes HfZnPdS2 at its PBEsol-relaxed geometry. The functional is SCAN.

Calculated values
**Calculated volume**: 23.574 A^3/atom
**E_form (uncorrected)**: 0.04 eV/atom

Cell: 4.7620 4.7620 5.1978 Å, 90.00 90.00 90.00°
Last column: nearest neighbours and their distance in Å.
Space group P4/mmm (No. 123)
Unique sites:
Hf 0.0000 0.0000 0.0000  4 S 2.38, 2 Zn 2.60
Zn 0.0000 0.0000 0.5000  2 Hf 2.60
Pd 0.5000 0.5000 0.5000  4 Zn 3.37, 8 S 3.52
S 0.0000 0.5000 0.0000  2 Hf 2.38

=====

(6)
This record from the Alexandria database describes BaIn at its PBEsol-relaxed geometry. The functional is SCAN.

Calculated values
**E_form**: -226 meV per atom
**Calculated volume**: 39.711 A^3/atom

Cell: 4.1421 4.1421 10.6904 Å, 90.00 90.00 120.00°
Last column: nearest neighbours and their distance in Å.
Space group P6_3/mmc (No. 194)
Unique sites:
Ba 0.0000 0.0000 0.0000  6 In 3.59
In 0.3333 0.6667 0.2500  6 Ba 3.59

=====

(7)
This record from the Alexandria database describes Ti2CoB2 at its PBEsol-relaxed geometry. The functional is SCAN.

Calculated values
**E_form**: -786 meV per atom
**Calculated volume**: 10.054 A^3/atom

Cell: 5.5392 5.5392 3.2767 Å, 90.00 90.00 90.00°
Last column: nearest neighbours and their distance in Å.
Space group P4/mbm (No. 127)
Unique sites:
Ti 0.1779 0.3221 0.0000  6 B 2.30-2.33
Co 0.0000 0.0000 0.5000  4 B 2.22
B 0.1155 0.6155 0.5000  1 B 1.81

=====

(8)
This record from the Alexandria database describes InMo at its PBEsol-relaxed geometry. The functional is SCAN.

Calculated values
**E_form**: 426 meV per atom
**Calculated volume**: 17.751 A^3/atom
**Excess energy over the best structure of this formula in the dataset**: 0.40 eV per formula unit

Cell: 2.9621 2.9621 4.6724 Å, 90.00 90.00 120.00°
Last column: nearest neighbours and their distance in Å.
Space group P-6m2 (No. 187)
Unique sites:
In 0.0000 0.0000 0.0000  6 Mo 2.90, 6 In 2.96
Mo 0.3333 0.6667 0.5000  6 In 2.90, 6 Mo 2.96

=====

(9)
This record from the Alexandria database describes Ca2NF at its PBEsol-relaxed geometry. The functional is SCAN.

Calculated values
**Calculated volume**: 15.041 A^3/atom
**E_form (uncorrected)**: -2.26 eV/atom

Cell: 4.8550 4.8550 10.2096 Å, 90.00 90.00 90.00°
Last column: nearest neighbours and their distance in Å.
Space group I4_1/amd (No. 141, origin choice 2)
Unique sites:
Ca 0.0000 0.2500 0.1048  3 N 2.35-2.44, 2 F 2.44
N 0.0000 0.2500 0.8750  6 Ca 2.35-2.44
F 0.0000 0.2500 0.3750  4 Ca 2.44

=====

(10)
This record from the Alexandria database describes Sb2WAu at its PBEsol-relaxed geometry. The functional is SCAN.

Calculated values
**Calculated volume**: 21.483 A^3/atom
**Excess energy over the best structure of this formula in the dataset**: 0.39 eV per formula unit
**E_form (uncorrected)**: 0.51 eV/atom

Cell: 3.0222 4.4764 12.7038 Å, 90.00 90.00 90.00°
Last column: nearest neighbours and their distance in Å.
Space group Imm2 (No. 44)
Unique sites:
Sb 0.0000 0.0000 0.0000  2 W 2.89, 2 Sb 3.02, 4 Au 3.07
Sb 0.0000 0.5000 0.2145  4 W 2.71, 2 Sb 3.02
W 0.0000 0.5000 0.6942  6 Sb 2.71-2.89, 2 Au 2.86, 2 W 3.02
Au 0.0000 0.0000 0.3856  2 W 2.86, 2 Au 3.02, 6 Sb 3.07-3.12

=====

(11)
This record from the Alexandria database describes Cr2IrRh at its PBEsol-relaxed geometry. The functional is SCAN.

Calculated values
**E_form**: -166 meV per atom
**Calculated volume**: 12.565 A^3/atom

Cell: 2.6285 3.6397 5.2535 Å, 90.00 90.00 90.00°
Last column: nearest neighbours and their distance in Å.
Space group Pmmm (No. 47)
Unique sites:
Cr 0.0000 0.0000 0.2458  4 Cr 2.58-2.67, 4 Ir 2.59, 4 Rh 2.61
Ir 0.5000 0.5000 0.0000  8 Cr 2.59, 2 Rh 2.63, 2 Ir 2.63
Rh 0.5000 0.5000 0.5000  8 Cr 2.61, 2 Ir 2.63, 2 Rh 2.63

=====

(12)
This record from the Alexandria database describes SnH3Os at its PBEsol-relaxed geometry. The functional is SCAN.

Calculated values
**Calculated volume**: 10.519 A^3/atom
**Uncorrected energy**: -21.87 eV per atom

Cell: 3.7467 3.7467 3.7467 Å, 90.00 90.00 90.00°
Last column: nearest neighbours and their distance in Å.
Space group Pm-3m (No. 221)
Unique sites:
Sn 0.0000 0.0000 0.0000  6 H 1.87
H 0.0000 0.0000 0.5000  2 Sn 1.87
Os 0.5000 0.5000 0.5000  12 H 2.65

=====

(13)
This record from the Alexandria database describes CoCuRe3 at its PBEsol-relaxed geometry. The functional is SCAN.

Calculated values
**E_form**: 2304 meV per atom
**Calculated volume**: 16.284 A^3/atom

Cell: 4.3342 4.3342 4.3342 Å, 90.00 90.00 90.00°
Last column: nearest neighbours and their distance in Å.
Space group Pm-3m (No. 221)
Unique sites:
Co 0.0000 0.0000 0.0000  12 Re 3.06
Cu 0.5000 0.5000 0.5000  6 Re 2.17
Re 0.0000 0.5000 0.5000  2 Cu 2.17

=====

(14)
This record from the Alexandria database describes NiOs2Se at its PBEsol-relaxed geometry. The functional is SCAN.

Calculated values
**Calculated volume**: 14.410 A^3/atom
**E_form (uncorrected)**: 0.58 eV/atom

Cell: 2.8529 3.7358 10.8162 Å, 90.00 90.00 90.00°
Last column: nearest neighbours and their distance in Å.
Space group Immm (No. 71)
Unique sites:
Ni 0.0000 0.0000 0.0000  4 Se 2.35
Os 0.0000 0.5000 0.1994  2 Se 2.59, 6 Os 2.59-2.85, 2 Ni 2.85
Se 0.0000 0.0000 0.5000  4 Ni 2.35, 4 Os 2.59

=====

(15)
This record from the Alexandria database describes Ag3PdI at its PBEsol-relaxed geometry. The functional is SCAN.

Calculated values
**Calculated volume**: 27.735 A^3/atom
**E_form (uncorrected)**: 1.17 eV/atom

Cell: 5.1761 5.1761 5.1761 Å, 90.00 90.00 90.00°
Last column: nearest neighbours and their distance in Å.
Space group Pm-3m (No. 221)
Unique sites:
Ag 0.0000 0.0000 0.5000  2 I 2.59
Pd 0.5000 0.5000 0.5000  12 Ag 3.66
I 0.0000 0.0000 0.0000  6 Ag 2.59

=====

(16)
This record from the Alexandria database describes CsSr2Os at its PBEsol-relaxed geometry. The functional is SCAN.

Calculated values
**E_form**: 948 meV per atom
**Calculated volume**: 29.376 A^3/atom

Cell: 7.7750 7.7750 7.7750 Å, 90.00 90.00 90.00°
Last column: nearest neighbours and their distance in Å.
Space group Fm-3m (No. 225)
Unique sites:
Cs 0.0000 0.0000 0.0000  8 Sr 3.37
Sr 0.2500 0.2500 0.2500  4 Os 3.37, 4 Cs 3.37
Os 0.0000 0.0000 0.5000  8 Sr 3.37

=====

(17)
This record from the Alexandria database describes LiIn2S2 at its PBEsol-relaxed geometry. The functional is SCAN.

Calculated values
**Calculated volume**: 22.945 A^3/atom
**E_form (uncorrected)**: -0.27 eV/atom

Cell: 4.0605 4.0605 13.9164 Å, 90.00 90.00 90.00°
Last column: nearest neighbours and their distance in Å.
Space group I4/mmm (No. 139)
Unique sites:
Li 0.0000 0.0000 0.0000  8 S 3.07
In 0.0000 0.5000 0.2500  4 In 2.87, 4 S 3.14
S 0.0000 0.0000 0.4225  1 S 2.16

=====

(18)
This record from the Alexandria database describes SrRePt2 at its PBEsol-relaxed geometry. The functional is SCAN.

Calculated values
**E_form**: 4 meV per atom
**Calculated volume**: 17.928 A^3/atom
**Excess energy over the best structure of this formula in the dataset**: 0.53 eV per formula unit

Cell: 2.8083 4.6551 5.5362 Å, 90.00 97.75 90.00°
Last column: nearest neighbours and their distance in Å.
Space group Pm (No. 6)
Unique sites:
Sr 0.0000 0.0000 0.0000  2 Sr 2.81, 6 Pt 2.82-3.05
Re 0.1801 0.5000 0.6121  6 Pt 2.66-2.90, 2 Re 2.81
Pt 0.5548 0.5000 0.1957  2 Re 2.66-2.70, 4 Pt 2.81-2.90, 4 Sr 2.92-2.93
Pt 0.5729 0.0000 0.5085  4 Re 2.67-2.90, 4 Pt 2.81-2.90, 1 Sr 2.82

=====

(19)
This record from the Alexandria database describes CuTcPt2 at its PBEsol-relaxed geometry. The functional is SCAN.

Calculated values
**E_form**: -128 meV per atom
**Calculated volume**: 13.805 A^3/atom
**Excess energy over the best structure of this formula in the dataset**: 0.50 eV per formula unit

Cell: 3.7839 3.7839 7.7135 Å, 90.00 90.00 90.00°
Last column: nearest neighbours and their distance in Å.
Space group I4/mmm (No. 139)
Unique sites:
Cu 0.0000 0.0000 0.0000  4 Tc 2.68, 8 Pt 2.70
Tc 0.0000 0.0000 0.5000  4 Cu 2.68, 8 Pt 2.70
Pt 0.0000 0.5000 0.2500  4 Pt 2.68, 4 Tc 2.70, 4 Cu 2.70

=====

(20)
This record from the Alexandria database describes K2CdI2 at its PBEsol-relaxed geometry. The functional is SCAN.

Calculated values
**Calculated volume**: 51.765 A^3/atom
**E_form (uncorrected)**: -1.01 eV/atom

Cell: 6.5089 6.5089 12.2188 Å, 90.00 90.00 90.00°
Last column: nearest neighbours and their distance in Å.
Space group I4/mmm (No. 139)
Unique sites:
K 0.0000 0.5000 0.2500  4 I 3.38
Cd 0.0000 0.0000 0.0000  2 I 3.97
I 0.0000 0.0000 0.3250  4 K 3.38

=====

(21)
This record from the Alexandria database describes Ba2ZnB2O6 at its PBEsol-relaxed geometry. The functional is SCAN.

Calculated values
**Calculated volume**: 15.092 A^3/atom
**E_form (uncorrected)**: -2.74 eV/atom

Cell: 14.9902 8.7199 10.1607 Å, 90.00 90.00 90.00°
Last column: nearest neighbours and their distance in Å.
Space group Pca2_1 (No. 29)
Unique sites:
Ba 0.0985 0.1892 0.0000  7 O 2.63-2.92
Ba 0.1137 0.7105 0.2613  6 O 2.57-2.80
Ba 0.1146 0.6359 0.7109  5 O 2.62-2.92
Ba 0.1190 0.1725 0.4745  7 O 2.68-2.98
Zn 0.2108 0.0073 0.7345  4 O 1.94-1.97
Zn 0.2259 0.5126 0.9872  4 O 1.93-1.95
B 0.0123 0.9423 0.7573  3 O 1.38-1.41
B 0.0141 0.5096 0.0042  3 O 1.37-1.40
B 0.2354 0.8470 0.9958  3 O 1.38-1.39
B 0.2490 0.3417 0.2422  3 O 1.38-1.39
O 0.0082 0.3737 0.5890  1 B 1.37
O 0.0170 0.9494 0.3462  1 B 1.38
O 0.0328 0.1965 0.2448  1 B 1.39
O 0.0449 0.6075 0.4759  1 B 1.38
O 0.0876 0.9654 0.6772  1 B 1.41
O 0.0988 0.4952 0.9467  1 B 1.40
O 0.2273 0.9832 0.0650  1 B 1.39
O 0.2277 0.4741 0.3106  1 B 1.39
O 0.2334 0.8430 0.8598  1 B 1.38
O 0.2343 0.2073 0.8113  1 B 1.39
O 0.2450 0.3445 0.6063  1 B 1.38
O 0.2454 0.7116 0.0656  1 B 1.39

=====

(22)
This record from the Alexandria database describes CrCo2Ir at its PBEsol-relaxed geometry. The functional is SCAN.

Calculated values
**E_form**: -97 meV per atom
**Calculated volume**: 11.342 A^3/atom
**Excess energy over the best structure of this formula in the dataset**: 0.00 eV per formula unit

Cell: 3.5558 3.5558 3.5881 Å, 90.00 90.00 90.00°
Last column: nearest neighbours and their distance in Å.
Space group P4/mmm (No. 123)
Unique sites:
Cr 0.0000 0.0000 0.0000  4 Ir 2.51, 8 Co 2.53
Co 0.0000 0.5000 0.5000  4 Co 2.51, 4 Cr 2.53, 4 Ir 2.53
Ir 0.5000 0.5000 0.0000  4 Cr 2.51, 8 Co 2.53